Below is a crystal of PbWSCl2 relaxed with PBEsol, with properties calculated at the meta-GGA SCAN level.

Cell: 5.213 5.213 5.286 Å, 90.00 90.00 90.00°
Element x y z (fractional)
Pb1 0.000 0.000 0.000
W1 0.500 0.500 0.500
S1 0.000 0.000 0.500
Cl1 0.000 0.500 0.000
Cl2 0.500 0.000 0.000

Values from the calculation:
Its spin magnetization is 4.7 μB/cell. The value obtained for the energy is -33.160 eV per atom. The space group is No. 123.